## KMnBiIr2 (GGA-PBE)

Data for crystalline KMnBiIr2 at its relaxed geometry.

Lattice parameters (Å, degrees): 5.1307 5.1307 4.9986 90.00 90.00 90.00
Atoms (fractional coordinates):
K1 0.0000 0.0000 0.0000
Mn1 0.5000 0.5000 0.0000
Bi1 0.5000 0.5000 0.5000
Ir1 0.0000 0.5000 0.5000
Ir2 0.5000 0.0000 0.5000

Computed properties:
* calculated formation energy: 1722.8 meV/atom
* distance to the lowest polymorph of the same formula: 46 meV/atom
* spin magnetization: 0.29 μB per cell


## KMnBiIr2 (GGA-PBE)

Data for crystalline KMnBiIr2 at its relaxed geometry.

Lattice parameters (Å, degrees): 5.0875 5.0875 5.7872 90.00 90.00 90.00
Atoms (fractional coordinates):
K1 0.0000 0.0000 0.0000
Mn1 0.5000 0.5000 0.0000
Bi1 0.0000 0.0000 0.5000
Ir1 0.0000 0.5000 0.5000
Ir2 0.5000 0.0000 0.5000

Computed properties:
* calculated formation energy: 1676.3 meV/atom
* distance to the lowest polymorph of the same formula: 0 meV/atom
* spin magnetization: 4.13 μB per cell


## K2MnBiIr (GGA-PBE)

Data for crystalline K2MnBiIr at its relaxed geometry.

Lattice parameters (Å, degrees): 6.2899 6.2899 4.5942 90.00 90.00 90.00
Atoms (fractional coordinates):
K1 0.0000 0.5000 0.0000
K2 0.5000 0.0000 0.0000
Mn1 0.0000 0.0000 0.5000
Bi1 0.5000 0.5000 0.5000
Ir1 0.0000 0.0000 0.0000

Computed properties:
* calculated formation energy: 780.5 meV/atom
* spin magnetization: 3.47 μB per cell


## KBi2IrO8 (GGA-PBE)

Data for crystalline KBi2IrO8 at its relaxed geometry.

Lattice parameters (Å, degrees): 4.9792 5.2251 7.0384 89.96 89.94 86.84
Atoms (fractional coordinates):
K1 0.0000 0.0000 0.0000
Bi1 0.4997 0.4999 0.2447
Bi2 0.5003 0.5001 0.7553
Ir1 0.0000 0.0000 0.5000
O1 0.2076 0.3005 0.5001
O2 0.2330 0.8563 0.6915
O3 0.2336 0.8568 0.3084
O4 0.2828 0.3738 0.0001
O5 0.7172 0.6262 0.9999
O6 0.7664 0.1432 0.6916
O7 0.7670 0.1437 0.3085
O8 0.7924 0.6995 0.4999

Computed properties:
* raw total energy: -66.9 eV per cell
* spin magnetization: 0.00 μB per cell


## KBiIrO6 (GGA-PBE)

Data for crystalline KBiIrO6 at its relaxed geometry.

Lattice parameters (Å, degrees): 5.5779 5.5779 11.7404 90.00 90.00 120.00
Atoms (fractional coordinates):
K1 0.0000 0.0000 0.0000
K2 0.0000 0.0000 0.5000
Bi1 0.3333 0.6667 0.2500
Bi2 0.6667 0.3333 0.7500
Ir1 0.3333 0.6667 0.7500
Ir2 0.6667 0.3333 0.2500
O1 0.0401 0.3950 0.6560
O2 0.0401 0.6450 0.8440
O3 0.3550 0.3950 0.8440
O4 0.3550 0.9599 0.6560
O5 0.3950 0.0401 0.1560
O6 0.3950 0.3550 0.3440
O7 0.6050 0.6450 0.6560
O8 0.6050 0.9599 0.8440
O9 0.6450 0.0401 0.3440
O10 0.6450 0.6050 0.1560
O11 0.9599 0.3550 0.1560
O12 0.9599 0.6050 0.3440

Computed properties:
* raw total energy: -103.8 eV per cell
* spin magnetization: 1.78 μB per cell


## KBiIrO4 (GGA-PBE)

Data for crystalline KBiIrO4 at its relaxed geometry.

Lattice parameters (Å, degrees): 6.8663 6.8663 6.8663 122.52 116.92 90.55
Atoms (fractional coordinates):
K1 0.3875 0.1375 0.2500
K2 0.6125 0.8625 0.7500
Bi1 0.0000 0.5000 0.5000
Bi2 0.5000 0.5000 0.0000
Ir1 0.0000 0.0000 0.5000
Ir2 0.0000 0.5000 0.0000
O1 0.1683 0.7426 0.4257
O2 0.1831 0.2574 0.9257
O3 0.2115 0.2339 0.5224
O4 0.2115 0.6891 0.9776
O5 0.7885 0.3109 0.0224
O6 0.7885 0.7661 0.4776
O7 0.8169 0.7426 0.0743
O8 0.8317 0.2574 0.5743

Computed properties:
* raw total energy: -81.7 eV per cell
* spin magnetization: 0.00 μB per cell


## KBiIr2Pb (GGA-PBE)

Data for crystalline KBiIr2Pb at its relaxed geometry.

Lattice parameters (Å, degrees): 4.9915 4.9915 5.4111 90.00 90.00 90.00
Atoms (fractional coordinates):
K1 0.0000 0.0000 0.0000
Bi1 0.5000 0.5000 0.5000
Ir1 0.0000 0.5000 0.0000
Ir2 0.5000 0.0000 0.0000
Pb1 0.0000 0.0000 0.5000

Computed properties:
* calculated formation energy: 2177.8 meV/atom
* spin magnetization: 0.00 μB per cell


## K2BiIrS (GGA-PBE)

Data for crystalline K2BiIrS at its relaxed geometry.

Lattice parameters (Å, degrees): 6.7144 6.7144 4.9983 90.00 90.00 90.00
Atoms (fractional coordinates):
K1 0.0000 0.5000 0.0000
K2 0.5000 0.0000 0.0000
Bi1 0.0000 0.0000 0.0000
Ir1 0.0000 0.0000 0.5000
S1 0.5000 0.5000 0.5000

Computed properties:
* raw total energy: -16.2 eV per cell
* spin magnetization: 1.58 μB per cell


## K2ScBiIr (GGA-PBE)

Data for crystalline K2ScBiIr at its relaxed geometry.

Lattice parameters (Å, degrees): 6.1333 6.1333 5.1336 90.00 90.00 90.00
Atoms (fractional coordinates):
K1 0.0000 0.5000 0.0000
K2 0.5000 0.0000 0.0000
Sc1 0.0000 0.0000 0.5000
Bi1 0.5000 0.5000 0.5000
Ir1 0.5000 0.5000 0.0000

Computed properties:
* calculated formation energy: 740.4 meV/atom
* spin magnetization: 1.26 μB per cell


## KSr2BiIr (GGA-PBE)

Data for crystalline KSr2BiIr at its relaxed geometry.

Lattice parameters (Å, degrees): 6.0498 6.0498 4.8665 90.00 90.00 90.00
Atoms (fractional coordinates):
K1 0.0000 0.0000 0.0000
Sr1 0.0000 0.5000 0.0000
Sr2 0.5000 0.0000 0.0000
Bi1 0.5000 0.5000 0.5000
Ir1 0.0000 0.0000 0.5000

Computed properties:
* calculated formation energy: 886.6 meV/atom
* spin magnetization: 0.00 μB per cell


## K2TaBiIr (GGA-PBE)

Data for crystalline K2TaBiIr at its relaxed geometry.

Lattice parameters (Å, degrees): 6.0848 6.0848 4.7702 90.00 90.00 90.00
Atoms (fractional coordinates):
K1 0.0000 0.5000 0.0000
K2 0.5000 0.0000 0.0000
Ta1 0.0000 0.0000 0.5000
Bi1 0.5000 0.5000 0.5000
Ir1 0.0000 0.0000 0.0000

Computed properties:
* calculated formation energy: 950.8 meV/atom
* spin magnetization: 0.19 μB per cell


## KBi2IrW (GGA-PBE)

Data for crystalline KBi2IrW at its relaxed geometry.

Lattice parameters (Å, degrees): 5.5974 5.5974 4.6943 90.00 90.00 90.00
Atoms (fractional coordinates):
K1 0.0000 0.0000 0.0000
Bi1 0.0000 0.5000 0.0000
Bi2 0.5000 0.0000 0.0000
Ir1 0.0000 0.0000 0.5000
W1 0.5000 0.5000 0.5000

Computed properties:
* calculated formation energy: 2689.2 meV/atom
* spin magnetization: 2.91 μB per cell


## KZn2BiIr (GGA-PBE)

Data for crystalline KZn2BiIr at its relaxed geometry.

Lattice parameters (Å, degrees): 5.0119 5.0119 5.2958 90.00 90.00 90.00
Atoms (fractional coordinates):
K1 0.0000 0.0000 0.0000
Zn1 0.0000 0.5000 0.5000
Zn2 0.5000 0.0000 0.5000
Bi1 0.5000 0.5000 0.0000
Ir1 0.5000 0.5000 0.5000

Computed properties:
* calculated formation energy: -1.3 meV/atom
* spin magnetization: 0.00 μB per cell


## K2ZnBiIr (GGA-PBE)

Data for crystalline K2ZnBiIr at its relaxed geometry.

Lattice parameters (Å, degrees): 6.4419 6.4419 5.0018 90.00 90.00 90.00
Atoms (fractional coordinates):
K1 0.0000 0.5000 0.0000
K2 0.5000 0.0000 0.0000
Zn1 0.0000 0.0000 0.0000
Bi1 0.0000 0.0000 0.5000
Ir1 0.5000 0.5000 0.5000

Computed properties:
* calculated formation energy: 975.8 meV/atom
* spin magnetization: 2.20 μB per cell


## La4BiIr2 (GGA-PBE)

Data for crystalline La4BiIr2 at its relaxed geometry.

Lattice parameters (Å, degrees): 7.3493 7.3493 14.1865 90.00 90.00 145.30
Atoms (fractional coordinates):
La1 0.0000 0.0000 0.0000
La2 0.0000 0.0000 0.5000
La3 0.2668 0.7332 0.6088
La4 0.2668 0.7332 0.8912
La5 0.4346 0.5654 0.2500
La6 0.5654 0.4346 0.7500
La7 0.7332 0.2668 0.1088
La8 0.7332 0.2668 0.3912
Bi1 0.1089 0.8911 0.2500
Bi2 0.8911 0.1089 0.7500
Ir1 0.3698 0.6302 0.0611
Ir2 0.3698 0.6302 0.4389
Ir3 0.6302 0.3698 0.5611
Ir4 0.6302 0.3698 0.9389

Computed properties:
* calculated formation energy: -782.9 meV/atom
* distance to the lowest polymorph of the same formula: 0 meV/atom
* spin magnetization: 0.00 μB per cell


## La4BiIr2 (GGA-PBE)

Data for crystalline La4BiIr2 at its relaxed geometry.

Lattice parameters (Å, degrees): 8.4599 8.4599 8.4599 110.10 109.92 108.40
Atoms (fractional coordinates):
La1 0.1335 0.4492 0.6842
La2 0.1839 0.0000 0.1839
La3 0.2500 0.5662 0.3162
La4 0.2500 0.9339 0.6838
La5 0.6992 0.5150 0.8158
La6 0.6992 0.8834 0.1842
La7 0.7650 0.4492 0.3158
La8 0.8161 0.0000 0.8161
Bi1 0.3496 0.3496 0.0000
Bi2 0.5978 0.0978 0.5000
Ir1 0.4747 0.7245 0.7502
Ir2 0.9743 0.7245 0.2498
Ir3 0.9745 0.2247 0.2502
Ir4 0.9745 0.7243 0.7498

Computed properties:
* calculated formation energy: -665.9 meV/atom
* distance to the lowest polymorph of the same formula: 117 meV/atom
* spin magnetization: 0.00 μB per cell


## La5BiIr2 (GGA-PBE)

Data for crystalline La5BiIr2 at its relaxed geometry.

Lattice parameters (Å, degrees): 9.1408 9.1408 9.1408 126.62 126.62 78.88
Atoms (fractional coordinates):
La1 0.0000 0.0000 0.0000
La2 0.0257 0.5257 0.8149
La3 0.2108 0.0257 0.5000
La4 0.2892 0.7892 0.8149
La5 0.4743 0.2892 0.5000
La6 0.5000 0.5000 0.0000
La7 0.5257 0.7108 0.5000
La8 0.7108 0.2108 0.1851
La9 0.7892 0.9743 0.5000
La10 0.9743 0.4743 0.1851
Bi1 0.2500 0.2500 0.0000
Bi2 0.7500 0.7500 0.0000
Ir1 0.1430 0.3570 0.5000
Ir2 0.3570 0.8570 0.2140
Ir3 0.6430 0.1430 0.7860
Ir4 0.8570 0.6430 0.5000

Computed properties:
* calculated formation energy: -738.0 meV/atom
* spin magnetization: 0.00 μB per cell


## LaBi3Ir (GGA-PBE)

Data for crystalline LaBi3Ir at its relaxed geometry.

Lattice parameters (Å, degrees): 6.0435 6.0435 6.0435 90.00 90.00 90.00
Atoms (fractional coordinates):
La1 0.0000 0.0000 0.0000
Bi1 0.0000 0.0000 0.5000
Bi2 0.0000 0.5000 0.0000
Bi3 0.5000 0.0000 0.0000
Ir1 0.5000 0.5000 0.5000

Computed properties:
* calculated formation energy: 1558.2 meV/atom
* distance to the lowest polymorph of the same formula: 1881 meV/atom
* spin magnetization: 2.27 μB per cell


## LaBiIr2 (GGA-PBE)

Data for crystalline LaBiIr2 at its relaxed geometry.

Lattice parameters (Å, degrees): 5.9080 5.9080 13.8626 90.00 90.00 90.00
Atoms (fractional coordinates):
La1 0.0000 0.0000 0.0000
La2 0.0000 0.5000 0.2500
La3 0.5000 0.0000 0.7500
La4 0.5000 0.5000 0.5000
Bi1 0.0000 0.0000 0.5000
Bi2 0.0000 0.5000 0.7500
Bi3 0.5000 0.0000 0.2500
Bi4 0.5000 0.5000 0.0000
Ir1 0.2306 0.2500 0.6250
Ir2 0.2500 0.7306 0.8750
Ir3 0.2500 0.7694 0.3750
Ir4 0.2694 0.2500 0.1250
Ir5 0.7306 0.7500 0.1250
Ir6 0.7500 0.2306 0.3750
Ir7 0.7500 0.2694 0.8750
Ir8 0.7694 0.7500 0.6250

Computed properties:
* calculated formation energy: 301.4 meV/atom
* spin magnetization: 0.00 μB per cell


## LaBiIr3 (GGA-PBE)

Data for crystalline LaBiIr3 at its relaxed geometry.

Lattice parameters (Å, degrees): 4.9930 4.9930 4.9930 90.00 90.00 90.00
Atoms (fractional coordinates):
La1 0.0000 0.0000 0.0000
Bi1 0.5000 0.5000 0.5000
Ir1 0.0000 0.0000 0.5000
Ir2 0.0000 0.5000 0.0000
Ir3 0.5000 0.0000 0.0000

Computed properties:
* calculated formation energy: 1603.0 meV/atom
* distance to the lowest polymorph of the same formula: 669 meV/atom
* spin magnetization: 0.00 μB per cell


## La5Bi2Ir (GGA-PBE)

Data for crystalline La5Bi2Ir at its relaxed geometry.

Lattice parameters (Å, degrees): 13.1217 9.3517 8.4809 90.00 90.00 90.00
Atoms (fractional coordinates):
La1 0.0038 0.2500 0.0515
La2 0.0631 0.5412 0.3156
La3 0.0631 0.9588 0.3156
La4 0.1953 0.2500 0.6195
La5 0.2020 0.7500 0.6495
La6 0.2980 0.2500 0.1495
La7 0.3047 0.7500 0.1195
La8 0.4369 0.0412 0.8156
La9 0.4369 0.4588 0.8156
La10 0.4962 0.7500 0.5515
La11 0.5038 0.2500 0.4485
La12 0.5631 0.5412 0.1844
La13 0.5631 0.9588 0.1844
La14 0.6953 0.2500 0.8805
La15 0.7020 0.7500 0.8505
La16 0.7980 0.2500 0.3505
La17 0.8047 0.7500 0.3805
La18 0.9369 0.0412 0.6844
La19 0.9369 0.4588 0.6844
La20 0.9962 0.7500 0.9485
Bi1 0.1733 0.0079 0.9227
Bi2 0.1733 0.4921 0.9227
Bi3 0.3267 0.5079 0.4227
Bi4 0.3267 0.9921 0.4227
Bi5 0.6733 0.0079 0.5773
Bi6 0.6733 0.4921 0.5773
Bi7 0.8267 0.5079 0.0773
Bi8 0.8267 0.9921 0.0773
Ir1 0.0111 0.2500 0.4303
Ir2 0.4889 0.7500 0.9303
Ir3 0.5111 0.2500 0.0697
Ir4 0.9889 0.7500 0.5697

Computed properties:
* calculated formation energy: -826.6 meV/atom
* distance to the lowest polymorph of the same formula: 0 meV/atom
* spin magnetization: 0.00 μB per cell


## La4BiIr2 (GGA-PBE)

Data for crystalline La4BiIr2 at its relaxed geometry.

Lattice parameters (Å, degrees): 6.1475 6.1475 13.9610 90.00 90.00 90.00
Atoms (fractional coordinates):
La1 0.0000 0.0000 0.2325
La2 0.0000 0.0000 0.7675
La3 0.0000 0.5000 0.0000
La4 0.0000 0.5000 0.5000
La5 0.5000 0.0000 0.0000
La6 0.5000 0.0000 0.5000
La7 0.5000 0.5000 0.2675
La8 0.5000 0.5000 0.7325
Bi1 0.0000 0.0000 0.0000
Bi2 0.5000 0.5000 0.5000
Ir1 0.0000 0.0000 0.4101
Ir2 0.0000 0.0000 0.5899
Ir3 0.5000 0.5000 0.0899
Ir4 0.5000 0.5000 0.9101

Computed properties:
* calculated formation energy: -104.5 meV/atom
* distance to the lowest polymorph of the same formula: 678 meV/atom
* spin magnetization: 0.00 μB per cell


## La8Bi2Ir3 (GGA-PBE)

Data for crystalline La8Bi2Ir3 at its relaxed geometry.

Lattice parameters (Å, degrees): 9.3309 9.3309 7.2439 104.39 104.39 53.39
Atoms (fractional coordinates):
La1 0.0964 0.0964 0.4071
La2 0.1577 0.6366 0.1040
La3 0.3634 0.8423 0.8960
La4 0.4015 0.4015 0.6002
La5 0.5985 0.5985 0.3998
La6 0.6366 0.1577 0.1040
La7 0.8423 0.3634 0.8960
La8 0.9036 0.9036 0.5929
Bi1 0.2430 0.2430 0.1667
Bi2 0.7570 0.7570 0.8333
Ir1 0.2484 0.7516 0.5000
Ir2 0.5000 0.5000 0.0000
Ir3 0.7516 0.2484 0.5000

Computed properties:
* calculated formation energy: -668.3 meV/atom
* spin magnetization: 0.00 μB per cell


N(E_F): 8.9; 5.1; 6.0; 5.0; 10.1; 6.6; 6.5; 5.5; 6.4; 4.8; 4.8; 5.5; 4.1; 2.4; 13.0; 14.5; 15.6; 6.9; 4.1; 5.1; 27.8; 20.2; 10.1 (states/eV per cell)